# TeIr2Rh

A geometry-optimized TeIr2Rh structure (PBE, Alexandria via LeMat-Bulk).

```
TeIr2Rh
1.0
3.7014 0.0000 0.0000
0.0000 2.8254 -0.1235
0.0000 0.2932 6.7370
Te Ir Rh
1 2 1
direct
0.5000 0.1253 0.7483 Te
0.0000 0.1249 0.0550 Ir
0.5000 0.6248 0.2418 Ir
0.0000 0.1251 0.4549 Rh
```

Summary:
energy relative to the elements, uncorrected = 23.6 kJ per mole of atoms
magnetization = 0.00 Bohr magnetons per cell
ρ = 14466 kg/m3

=====

# Pa4S5O4

A geometry-optimized Pa4S5O4 structure (PBE, Alexandria via LeMat-Bulk).

```
Pa4S5O4
1.0
-0.9009 -3.2160 1.8550
4.1099 0.3633 6.5600
-6.1491 1.9345 4.3016
Pa S O
4 5 4
direct
0.7248 0.3234 0.2270 Pa
0.2752 0.6766 0.7730 Pa
0.9518 0.7730 0.3234 Pa
0.0482 0.2270 0.6766 Pa
0.7005 0.9333 0.6658 S
0.2995 0.0667 0.3342 S
0.0000 0.0000 0.0000 S
0.6337 0.6658 0.0667 S
0.3663 0.3342 0.9333 S
0.8853 0.5346 0.6948 O
0.5801 0.3052 0.5346 O
0.1147 0.4654 0.3052 O
0.4199 0.6948 0.4654 O
```

Summary:
energy relative to the elements, uncorrected = -240.0 kJ per mole of atoms
magnetization = 2.06 Bohr magnetons per cell
ρ = 8849 kg/m3

=====

# Na3Ce2F8

A geometry-optimized Na3Ce2F8 structure (PBE, Alexandria via LeMat-Bulk).

```
Na3Ce2F8
1.0
3.9938 0.0000 0.0000
0.0000 6.6087 2.7135
-0.0001 -0.0257 7.1457
Na Ce F
3 2 8
direct
0.5000 0.0000 0.0000 Na
0.0000 0.7242 0.2759 Na
0.0000 0.2758 0.7241 Na
0.5000 0.7390 0.7387 Ce
0.5000 0.2610 0.2613 Ce
0.0000 0.3766 0.3764 F
0.0000 0.6234 0.6236 F
0.0000 0.8758 0.8758 F
0.0000 0.1242 0.1242 F
0.5000 0.3625 0.8837 F
0.5000 0.8834 0.3624 F
0.5000 0.1166 0.6376 F
0.5000 0.6375 0.1163 F
```

Summary:
energy relative to the elements, uncorrected = -310.3 kJ per mole of atoms
magnetization = 2.99 Bohr magnetons per cell
ρ = 4406 kg/m3

=====

# Y3IrPd

A geometry-optimized Y3IrPd structure (PBE, Alexandria via LeMat-Bulk).

```
Y3IrPd
1.0
5.4893 -0.1016 -0.9430
-2.8443 6.4492 -0.5892
-1.3286 -4.0022 8.2046
Y Ir Pd
6 2 2
direct
0.3674 0.8134 0.1482 Y
0.1225 0.3291 0.6712 Y
0.8649 0.7658 0.7585 Y
0.1351 0.2342 0.2415 Y
0.6326 0.1866 0.8518 Y
0.8775 0.6709 0.3288 Y
0.7558 0.6916 0.0143 Ir
0.2442 0.3084 0.9857 Ir
0.4809 0.1986 0.5180 Pd
0.5191 0.8014 0.4820 Pd
```

Summary:
energy of formation = -694 meV per atom
polymorph energy (0 for the lowest one) = 0 meV/atom
magnetization = 0.00 Bohr magnetons per cell
ρ = 7327 kg/m3

=====

# SiIrBr2

A geometry-optimized SiIrBr2 structure (PBE, Alexandria via LeMat-Bulk).

```
SiIrBr2
1.0
2.8690 0.0000 0.0000
0.0000 3.4185 0.0000
0.0000 0.0000 9.4890
Br Ir Si
2 1 1
direct
0.0000 0.0000 0.9403 Br
0.5000 0.5000 0.3215 Br
0.0000 0.0000 0.6708 Ir
0.5000 0.5000 0.5673 Si
```

Summary:
energy relative to the elements, uncorrected = -16.7 kJ per mole of atoms
polymorph energy (0 for the lowest one) = 0 meV/atom
magnetization = 0.00 Bohr magnetons per cell
ρ = 6782 kg/m3

=====

# ZnCuIr2

A geometry-optimized ZnCuIr2 structure (PBE, Alexandria via LeMat-Bulk).

```
ZnCuIr2
1.0
4.6172 -0.0620 0.0000
1.4501 4.3840 0.0000
-3.0337 -2.1610 2.7294
Cu Ir Zn
1 2 1
direct
0.7500 0.2500 0.5000 Cu
0.0000 0.0000 0.0000 Ir
0.5000 0.5000 0.0000 Ir
0.2500 0.7500 0.5000 Zn
```

Summary:
energy of formation = 116 meV per atom
magnetization = 0.00 Bohr magnetons per cell
ρ = 15362 kg/m3

=====

# K2ZnInSb2

A geometry-optimized K2ZnInSb2 structure (PBE, Alexandria via LeMat-Bulk).

```
K2ZnInSb2
1.0
-4.7177 0.1144 5.2920
-3.1807 -5.7528 -2.7112
8.6749 -1.8264 3.0229
K Zn In Sb
4 2 2 4
direct
0.4153 0.1673 0.3346 K
0.5847 0.8327 0.6654 K
0.0807 0.3327 0.6654 K
0.9193 0.6673 0.3346 K
0.5000 0.7500 0.0000 Zn
0.5000 0.2500 0.0000 Zn
0.0000 0.7500 0.0000 In
0.0000 0.2500 0.0000 In
0.8257 0.0980 0.1960 Sb
0.3703 0.5980 0.1960 Sb
0.6297 0.4020 0.8040 Sb
0.1743 0.9020 0.8040 Sb
```

Summary:
energy relative to the elements, uncorrected = -33.3 kJ per mole of atoms
magnetization = 0.00 Bohr magnetons per cell
ρ = 4182 kg/m3

=====

# CaPr2Pb2

A geometry-optimized CaPr2Pb2 structure (PBE, Alexandria via LeMat-Bulk).

```
CaPr2Pb2
1.0
4.6974 0.0000 0.0000
0.0000 8.3496 0.0000
0.0000 0.0000 8.3496
Ca Pr Pb
2 4 4
direct
0.0000 0.0000 0.0000 Ca
0.0000 0.5000 0.5000 Ca
0.5000 0.1739 0.6739 Pr
0.5000 0.6739 0.8261 Pr
0.5000 0.8261 0.3261 Pr
0.5000 0.3261 0.1739 Pr
0.0000 0.3708 0.8708 Pb
0.0000 0.8708 0.6292 Pb
0.0000 0.6292 0.1292 Pb
0.0000 0.1292 0.3708 Pb
```

Summary:
energy of formation = -556 meV per atom
magnetization = 0.00 Bohr magnetons per cell
ρ = 7467 kg/m3

=====

# Ta2TiIn

A geometry-optimized Ta2TiIn structure (PBE, Alexandria via LeMat-Bulk).

```
Ta2TiIn
1.0
4.5844 0.0000 0.0000
0.0000 4.0179 0.0000
0.0000 0.0000 4.0179
In Ti Ta
1 1 2
direct
0.5000 0.0000 0.0000 In
0.5000 0.5000 0.5000 Ti
0.0000 0.0000 0.5000 Ta
0.0000 0.5000 0.0000 Ta
```

Summary:
energy of formation = 25 meV per atom
magnetization = 0.00 Bohr magnetons per cell
ρ = 11770 kg/m3

=====

# Co3AuBr9

A geometry-optimized Co3AuBr9 structure (PBE, Alexandria via LeMat-Bulk).

```
Co3AuBr9
1.0
-5.8348 -7.5279 0.4016
2.6331 -7.7663 5.8207
-7.3998 0.1567 8.5690
Co Au Br
6 2 18
direct
0.7655 0.5457 0.6588 Co
0.0300 0.0457 0.1588 Co
0.9699 0.9635 0.8624 Co
0.2042 0.4635 0.3624 Co
0.5905 0.2390 0.7026 Co
0.4679 0.7390 0.2026 Co
0.0590 0.5019 0.9869 Au
0.4521 0.0019 0.4869 Au
0.2997 0.2019 0.3372 Br
0.1613 0.7019 0.8372 Br
0.3718 0.2994 0.9081 Br
0.4207 0.7994 0.4081 Br
0.1213 0.1059 0.7498 Br
0.0229 0.6059 0.2498 Br
0.7463 0.7090 0.0493 Br
0.4953 0.2090 0.5493 Br
0.9698 0.9660 0.3744 Br
0.6898 0.4660 0.8744 Br
0.5784 0.8064 0.6532 Br
0.9620 0.3064 0.1532 Br
0.4642 0.4963 0.2583 Br
0.7812 0.9963 0.7583 Br
0.7260 0.3948 0.5524 Br
0.3267 0.8948 0.0524 Br
0.8380 0.0277 0.0843 Br
0.0500 0.5277 0.5843 Br
```

Summary:
energy relative to the elements, uncorrected = -19.6 kJ per mole of atoms
magnetization = 17.87 Bohr magnetons per cell
ρ = 4197 kg/m3

=====

# PrErCoAu

A geometry-optimized PrErCoAu structure (PBE, Alexandria via LeMat-Bulk).

```
PrErCoAu
1.0
-4.5382 2.1552 0.0776
-4.1355 -2.8413 -0.2671
-2.9579 -0.5164 4.0288
Pr Co Au Er
1 1 1 1
direct
0.0000 0.0000 0.0000 Pr
0.7500 0.7500 0.7500 Co
0.2500 0.2500 0.2500 Au
0.5000 0.5000 0.5000 Er
```

Summary:
energy of formation = -352 meV per atom
magnetization = 0.63 Bohr magnetons per cell
ρ = 10442 kg/m3

=====

# Dy2In8Ru

A geometry-optimized Dy2In8Ru structure (PBE, Alexandria via LeMat-Bulk).

```
Dy2In8Ru
1.0
4.6318 0.0000 0.0000
0.0000 4.6318 0.0000
0.0000 0.0000 12.2475
Dy In Ru
2 8 1
direct
0.0000 0.0000 0.3082 Dy
0.0000 0.0000 0.6918 Dy
0.0000 0.5000 0.5000 In
0.5000 0.0000 0.5000 In
0.5000 0.5000 0.3096 In
0.5000 0.5000 0.6904 In
0.0000 0.5000 0.1223 In
0.5000 0.0000 0.1223 In
0.0000 0.5000 0.8777 In
0.5000 0.0000 0.8777 In
0.0000 0.0000 0.0000 Ru
```

Summary:
energy of formation = -326 meV per atom
magnetization = 0.00 Bohr magnetons per cell
ρ = 8498 kg/m3

=====

# SrNb2Pt2

A geometry-optimized SrNb2Pt2 structure (PBE, Alexandria via LeMat-Bulk).

```
SrNb2Pt2
1.0
-7.7343 1.5084 2.4272
0.9007 -5.3596 6.2008
0.9581 2.1485 1.7179
Sr Nb Pt
2 4 4
direct
0.0000 0.0000 0.0000 Sr
0.5000 0.5000 0.0000 Sr
0.1624 0.6624 0.5000 Nb
0.6624 0.8376 0.5000 Nb
0.8376 0.3376 0.5000 Nb
0.3376 0.1624 0.5000 Nb
0.3724 0.8724 0.0000 Pt
0.8724 0.6276 0.0000 Pt
0.6276 0.1276 0.0000 Pt
0.1276 0.3724 0.0000 Pt
```

Summary:
energy of formation = -177 meV per atom
polymorph energy (0 for the lowest one) = 178 meV/atom
magnetization = 1.02 Bohr magnetons per cell
ρ = 11128 kg/m3

=====

# HRu2Pt

A geometry-optimized HRu2Pt structure (PBE, Alexandria via LeMat-Bulk).

```
HRu2Pt
1.0
-1.1484 -1.1619 -5.7732
-5.0910 -2.7605 1.5683
-4.4303 0.3408 -2.3050
Ru Pt H
4 2 2
direct
0.5218 0.1250 0.2500 Ru
0.2282 0.6250 0.2500 Ru
0.3750 0.4782 0.7500 Ru
0.8750 0.7718 0.7500 Ru
0.0000 0.0000 0.0000 Pt
0.7500 0.2500 0.5000 Pt
0.5000 0.5000 0.0000 H
0.2500 0.7500 0.5000 H
```

Summary:
polymorph energy (0 for the lowest one) = 187 meV/atom
magnetization = 0.00 Bohr magnetons per cell
ρ = 13829 kg/m3

=====

# NaAlSbH

A geometry-optimized NaAlSbH structure (PBE, Alexandria via LeMat-Bulk).

```
NaAlSbH
1.0
4.3275 0.0000 0.0000
2.1637 3.7477 0.0000
2.1637 1.2492 11.1581
Na Al Sb H
2 2 2 2
direct
0.0000 0.0000 0.0000 Na
0.5000 0.5000 0.5000 Na
0.7627 0.7627 0.7118 Al
0.2373 0.2373 0.2882 Al
0.6001 0.6001 0.1997 Sb
0.3999 0.3999 0.8003 Sb
0.1876 0.1876 0.4371 H
0.8124 0.8124 0.5629 H
```

Summary:
energy = -27.268 eV for the cell shown
magnetization = 0.00 Bohr magnetons per cell
ρ = 3170 kg/m3

=====

# CuAgF3

A geometry-optimized CuAgF3 structure (PBE, Alexandria via LeMat-Bulk).

```
CuAgF3
1.0
5.7053 0.0000 0.0000
0.0000 8.9955 0.0000
0.0000 0.0000 5.6763
Cu Ag F
4 4 12
direct
0.5112 0.2500 0.5125 Cu
0.9888 0.7500 0.0125 Cu
0.4888 0.7500 0.4875 Cu
0.0112 0.2500 0.9875 Cu
0.0000 0.0000 0.5000 Ag
0.5000 0.5000 0.0000 Ag
0.5000 0.0000 0.0000 Ag
0.0000 0.5000 0.5000 Ag
0.1567 0.9043 0.8426 F
0.3433 0.4043 0.3426 F
0.3433 0.0957 0.3426 F
0.8433 0.4043 0.1574 F
0.8433 0.0957 0.1574 F
0.6567 0.5957 0.6574 F
0.6567 0.9043 0.6574 F
0.1567 0.5957 0.8426 F
0.3052 0.2500 0.8265 F
0.1948 0.7500 0.3265 F
0.6948 0.7500 0.1735 F
0.8052 0.2500 0.6735 F
```

Summary:
energy relative to the elements, uncorrected = -116.4 kJ per mole of atoms
polymorph energy (0 for the lowest one) = 106 meV/atom
magnetization = 4.00 Bohr magnetons per cell
ρ = 5208 kg/m3

=====

# BeAuCl2

A geometry-optimized BeAuCl2 structure (PBE, Alexandria via LeMat-Bulk).

```
BeAuCl2
1.0
4.8224 0.0089 0.0513
-0.6380 4.7800 0.0513
2.0548 2.3517 3.6629
Be Au Cl
1 1 2
direct
0.0000 0.5000 0.5000 Be
0.5000 0.0000 0.5000 Au
0.0000 0.0000 0.0000 Cl
0.5000 0.5000 0.0000 Cl
```

Summary:
energy relative to the elements, uncorrected = 26.5 kJ per mole of atoms
polymorph energy (0 for the lowest one) = 910 meV/atom
magnetization = 0.00 Bohr magnetons per cell
ρ = 5520 kg/m3

=====

# K5Cd2Au2

A geometry-optimized K5Cd2Au2 structure (PBE, Alexandria via LeMat-Bulk).

```
K5Cd2Au2
1.0
6.8395 0.0076 -2.1988
-1.5536 9.5686 -4.7974
-0.0434 -0.3728 11.4627
K Cd Au
10 4 4
direct
0.3869 0.7772 0.1408 K
0.2475 0.2234 0.8596 K
0.8869 0.8636 0.1407 K
0.7474 0.1361 0.8596 K
0.8392 0.7297 0.7134 K
0.1237 0.2703 0.2866 K
0.3393 0.4838 0.7134 K
0.6236 0.5162 0.2866 K
0.2194 0.8155 0.5003 K
0.7195 0.1847 0.5002 K
0.4186 0.8664 0.8591 Cd
0.5577 0.1333 0.1409 Cd
0.9185 0.4927 0.8589 Cd
0.0577 0.5075 0.1409 Cd
0.1542 0.0000 0.9998 Au
0.6542 0.4998 0.9997 Au
0.7167 0.8746 0.4997 Au
0.2170 0.1252 0.4999 Au
```

Summary:
energy of formation = -150 meV per atom
magnetization = 0.00 Bohr magnetons per cell
ρ = 3675 kg/m3

=====

# Fe2RuRh

A geometry-optimized Fe2RuRh structure (PBE, Alexandria via LeMat-Bulk).

```
Fe2RuRh
1.0
-3.4255 -0.4660 2.4916
0.1983 -4.2252 -0.5175
1.7672 -0.2098 2.3904
Fe Rh Ru
2 1 1
direct
0.0000 0.0000 0.0000 Fe
0.5000 0.5000 0.0000 Fe
0.5000 0.0000 0.5000 Rh
0.0000 0.5000 0.5000 Ru
```

Summary:
energy of formation = 92 meV per atom
magnetization = 8.25 Bohr magnetons per cell
ρ = 9686 kg/m3

=====

# PrSm3Au2

A geometry-optimized PrSm3Au2 structure (PBE, Alexandria via LeMat-Bulk).

```
PrSm3Au2
1.0
3.8972 0.0000 0.0000
0.0000 9.1093 0.0000
0.0000 0.0000 9.9846
Pr Sm Au
2 6 4
direct
0.5000 0.5118 0.5777 Pr
0.5000 0.0118 0.4223 Pr
0.0000 0.4894 0.9294 Sm
0.0000 0.9894 0.0706 Sm
0.5000 0.6602 0.2155 Sm
0.5000 0.1602 0.7845 Sm
0.0000 0.3384 0.2820 Sm
0.0000 0.8384 0.7180 Sm
0.5000 0.7688 0.9303 Au
0.5000 0.2688 0.0697 Au
0.0000 0.2313 0.5723 Au
0.0000 0.7313 0.4277 Au
```

Summary:
energy of formation = -532 meV per atom
polymorph energy (0 for the lowest one) = 0 meV/atom
magnetization = 0.00 Bohr magnetons per cell
ρ = 9237 kg/m3

=====

# HfAlCoAu

A geometry-optimized HfAlCoAu structure (PBE, Alexandria via LeMat-Bulk).

```
HfAlCoAu
1.0
-2.3250 2.6856 -2.7636
0.2977 -0.5567 -4.4561
-3.5050 -1.6330 -2.3030
Hf Au Al Co
1 1 1 1
direct
0.7500 0.7500 0.7500 Hf
0.5000 0.5000 0.5000 Au
0.2500 0.2500 0.2500 Al
0.0000 0.0000 0.0000 Co
```

Summary:
energy of formation = -400 meV per atom
magnetization = 1.00 Bohr magnetons per cell
ρ = 11885 kg/m3

=====

# Sb3AuC

A geometry-optimized Sb3AuC structure (PBE, Alexandria via LeMat-Bulk).

```
Sb3AuC
1.0
-1.5261 4.9308 -1.5775
-4.8358 -0.7706 2.2697
1.8483 2.0552 4.6357
Sb C Au
3 1 1
direct
0.0000 0.5000 0.0000 Sb
0.0000 0.0000 0.5000 Sb
0.5000 0.0000 0.0000 Sb
0.5000 0.5000 0.5000 C
0.0000 0.0000 0.0000 Au
```

Summary:
energy relative to the elements, uncorrected = 185.4 kJ per mole of atoms
polymorph energy (0 for the lowest one) = 988 meV/atom
magnetization = 0.74 Bohr magnetons per cell
ρ = 6065 kg/m3

=====

# LaAlCu2

A geometry-optimized LaAlCu2 structure (PBE, Alexandria via LeMat-Bulk).

```
LaAlCu2
1.0
-4.0098 2.5580 -0.9266
-0.4270 -2.2905 -4.2482
0.0484 -2.1312 4.3450
Al Cu La
1 2 1
direct
0.7992 0.2993 0.4997 Al
0.0025 0.0022 0.0003 Cu
0.1965 0.6968 0.5002 Cu
0.5017 0.5017 0.9998 La
```

Summary:
energy of formation = -55 meV per atom
magnetization = 0.00 Bohr magnetons per cell
ρ = 6121 kg/m3